The following is a DFT calculation (PBE) of an optimized crystal structure of SrY3Ag.

Structure (CIF):
```
data_SrY3Ag
_chemical_formula_sum 'Sr1 Y3 Ag1'
_symmetry_space_group_name_H-M 'P 1'
_symmetry_Int_Tables_number 1
_cell_length_a 5.694
_cell_length_b 5.694
_cell_length_c 5.694
_cell_angle_alpha 90.00
_cell_angle_beta 90.00
_cell_angle_gamma 90.00
loop_
_symmetry_equiv_pos_as_xyz
'x,y,z'
loop_
_atom_site_label
_atom_site_type_symbol
_atom_site_fract_x
_atom_site_fract_y
_atom_site_fract_z
_atom_site_occupancy
Sr1 Sr 0.000 0.000 0.000 1
Y1 Y 0.000 0.500 0.500 1
Y2 Y 0.500 0.000 0.500 1
Y3 Y 0.500 0.500 0.000 1
Ag1 Ag 0.500 0.500 0.500 1
```

Output
SG: Pm-3m (221)
Polymorph energy (0 for the lowest one): 0.00 eV per formula unit
Density: 4.157 g cm⁻³
Calculated formation energy: 0.8 eV per formula unit